## Rb4Hg5Pt (PBE-GGA)

Data for a relaxed structure of Rb4Hg5Pt.

Calculated values
Total magnetic moment = 0.00 μB/f.u.
Energy of formation from the pure elements = -1.9 eV per formula unit
Calculated volume = 388.0 Å³/cell
Fermi-level density of states = 4.80 states/eV per cell
Symmetry = I4/mmm, No. 139

Unit cell a=8.8331 b=8.8331 c=8.8331 alpha=95.58 beta=95.58 gamma=143.66
Fractional coordinates of all 10 atoms:
Rb 0.0000 0.2884 0.2884
Rb 0.0000 0.7116 0.7116
Rb 0.2884 0.0000 0.2884
Rb 0.7116 0.0000 0.7116
Hg 0.0000 0.0000 0.0000
Hg 0.3292 0.3292 0.6583
Hg 0.3292 0.6708 0.0000
Hg 0.6708 0.3292 0.0000
Hg 0.6708 0.6708 0.3417
Pt 0.5000 0.5000 0.0000

***

## Ca2ThZn6 (PBE-GGA)

Data for a relaxed structure of Ca2ThZn6.

Calculated values
Total magnetic moment = 0.00 μB/f.u.
Energy of formation from the pure elements = -2.4 eV per formula unit
Calculated volume = 194.0 Å³/cell
Fermi-level density of states = 5.74 states/eV per cell
Symmetry = P6/mmm, No. 191

Unit cell a=7.9124 b=7.9124 c=3.5775 alpha=90.00 beta=90.00 gamma=120.00
Fractional coordinates of all 9 atoms:
Ca 0.3333 0.6667 0.0000
Ca 0.6667 0.3333 0.0000
Th 0.0000 0.0000 0.0000
Zn 0.0000 0.3356 0.5000
Zn 0.0000 0.6644 0.5000
Zn 0.3356 0.0000 0.5000
Zn 0.3356 0.3356 0.5000
Zn 0.6644 0.0000 0.5000
Zn 0.6644 0.6644 0.5000

***

## Rb2AgCl5 (PBE-GGA)

Data for a relaxed structure of Rb2AgCl5.

Calculated values
Total magnetic moment = 0.00 μB/f.u.
Excess energy over the best structure of this formula in the dataset = 0.082 eV/f.u.
Calculated volume = 959.9 Å³/cell
Fermi-level density of states = 4.21 states/eV per cell
Symmetry = Pnma, No. 62
ΔE_f (raw) = -8.84 eV per formula unit

Unit cell a=9.1101 b=7.2177 c=14.5986 alpha=90.00 beta=90.00 gamma=90.00
Fractional coordinates of all 32 atoms:
Rb 0.0299 0.2500 0.2030
Rb 0.1506 0.7500 0.4276
Rb 0.3494 0.2500 0.9276
Rb 0.4701 0.7500 0.7030
Rb 0.5299 0.2500 0.2970
Rb 0.6506 0.7500 0.0724
Rb 0.8494 0.2500 0.5724
Rb 0.9701 0.7500 0.7970
Ag 0.1699 0.7500 0.0646
Ag 0.3301 0.2500 0.5646
Ag 0.6699 0.7500 0.4354
Ag 0.8301 0.2500 0.9354
Cl 0.0000 0.0000 0.0000
Cl 0.0000 0.5000 0.0000
Cl 0.0180 0.7500 0.1996
Cl 0.1658 0.5050 0.6271
Cl 0.1658 0.9950 0.6271
Cl 0.2005 0.2500 0.4173
Cl 0.2995 0.7500 0.9173
Cl 0.3342 0.0050 0.1271
Cl 0.3342 0.4950 0.1271
Cl 0.4820 0.2500 0.6996
Cl 0.5000 0.0000 0.5000
Cl 0.5000 0.5000 0.5000
Cl 0.5180 0.7500 0.3004
Cl 0.6657 0.5050 0.8729
Cl 0.6657 0.9950 0.8729
Cl 0.7005 0.2500 0.0827
Cl 0.7995 0.7500 0.5827
Cl 0.8342 0.0050 0.3729
Cl 0.8342 0.4950 0.3729
Cl 0.9820 0.2500 0.8004